Below is a relaxed LaPm4Pd4 crystal, with properties calculated at the PBE-GGA level.

Fermi-level density of states = 8.06 states/eV/f.u.
V = 252 Å³/f.u.
E = -5.589 eV per atom
crystal system = tetragonal

Geometry as CIF:
```
data_LaPm4Pd4
_chemical_formula_sum 'La2 Pm8 Pd8'
_cell_length_a 9.1961
_cell_length_b 9.1961
_cell_length_c 5.9684
_cell_angle_alpha 90.00
_cell_angle_beta 90.00
_cell_angle_gamma 90.00
_space_group_name_H-M_alt 'P 42/n'
_space_group_IT_number 86
loop_
_space_group_symop_operation_xyz
'x,y,z'
'-x,-y,-z'
'-y,x+1/2,z+1/2'
'y,-x+1/2,-z+1/2'
'-x+1/2,-y+1/2,z'
'x+1/2,y+1/2,-z'
'y+1/2,-x,z+1/2'
'-y+1/2,x,-z+1/2'
loop_
_atom_site_label
_atom_site_type_symbol
_atom_site_fract_x
_atom_site_fract_y
_atom_site_fract_z
La1 La 0.2500 0.2500 0.2500
Pm1 Pm 0.0690 0.6586 0.1635
Pd1 Pd 0.0340 0.6261 0.6577
```

---

Below is a relaxed La2Pm3Pd2 crystal, with properties calculated at the PBE-GGA level.

Fermi-level density of states = 8.70 states/eV/f.u.
V = 208 Å³/f.u.
E = -5.397 eV per atom
crystal system = monoclinic

Geometry as CIF:
```
data_La2Pm3Pd2
_chemical_formula_sum 'La4 Pm6 Pd4'
_cell_length_a 12.6771
_cell_length_b 3.8676
_cell_length_c 9.3778
_cell_angle_alpha 90.00
_cell_angle_beta 115.46
_cell_angle_gamma 90.00
_space_group_name_H-M_alt 'C 1 2/m 1'
_space_group_IT_number 12
loop_
_space_group_symop_operation_xyz
'x,y,z'
'-x,-y,-z'
'-x,y,-z'
'x,-y,z'
'x+1/2,y+1/2,z'
'-x+1/2,-y+1/2,-z'
'-x+1/2,y+1/2,-z'
'x+1/2,-y+1/2,z'
loop_
_atom_site_label
_atom_site_type_symbol
_atom_site_fract_x
_atom_site_fract_y
_atom_site_fract_z
La1 La 0.1581 0.0000 0.3104
Pm1 Pm 0.0000 0.5000 0.5000
Pm2 Pm 0.1157 0.5000 0.9376
Pd1 Pd 0.1656 0.0000 0.7334
```

---

Below is a relaxed La3Pm4Pd4 crystal, with properties calculated at the PBE-GGA level.

Fermi-level density of states = 11.55 states/eV/f.u.
V = 304 Å³/f.u.
E = -5.492 eV per atom
crystal system = orthorhombic

Geometry as CIF:
```
data_La3Pm4Pd4
_chemical_formula_sum 'La6 Pm8 Pd8'
_cell_length_a 4.9224
_cell_length_b 7.7264
_cell_length_c 15.9836
_cell_angle_alpha 90.00
_cell_angle_beta 90.00
_cell_angle_gamma 90.00
_space_group_name_H-M_alt 'I m m m'
_space_group_IT_number 71
_space_group_name_Hall '-I 2 2'
loop_
_atom_site_label
_atom_site_type_symbol
_atom_site_fract_x
_atom_site_fract_y
_atom_site_fract_z
La1 La 0.0000 0.0000 0.0000
La2 La 0.0000 0.5000 0.0983
Pm1 Pm 0.0000 0.2780 0.3289
Pd1 Pd 0.0000 0.0000 0.2004
Pd2 Pd 0.0000 0.1854 0.5000
```

---

Below is a relaxed LaPmPdRh crystal, with properties calculated at the PBE-GGA level.

Fermi-level density of states = 2.58 states/eV/f.u.
V = 96 Å³/f.u.
E = -6.345 eV per atom
distance to the lowest polymorph of the same formula = 0 meV/atom
crystal system = orthorhombic

Geometry as CIF:
```
data_LaPmPdRh
_chemical_formula_sum 'La2 Pm2 Pd2 Rh2'
_cell_length_a 4.5572
_cell_length_b 3.9051
_cell_length_c 10.7893
_cell_angle_alpha 90.00
_cell_angle_beta 90.00
_cell_angle_gamma 90.00
_space_group_name_H-M_alt 'A m m 2'
_space_group_IT_number 38
loop_
_space_group_symop_operation_xyz
'x,y,z'
'-x,-y,z'
'-x,y,z'
'x,-y,z'
'x,y+1/2,z+1/2'
'-x,-y+1/2,z+1/2'
'-x,y+1/2,z+1/2'
'x,-y+1/2,z+1/2'
loop_
_atom_site_label
_atom_site_type_symbol
_atom_site_fract_x
_atom_site_fract_y
_atom_site_fract_z
La1 La 0.0000 0.0000 0.0000
Pm1 Pm 0.5000 0.0000 0.7221
Pd1 Pd 0.5000 0.0000 0.4406
Rh1 Rh 0.0000 0.0000 0.2618
```

---

Below is a relaxed LaPmPdRh crystal, with properties calculated at the PBE-GGA level.

Fermi-level density of states = 2.59 states/eV/f.u.
V = 93 Å³/f.u.
E = -6.282 eV per atom
distance to the lowest polymorph of the same formula = 63 meV/atom
crystal system = cubic

Geometry as CIF:
```
data_LaPmPdRh
_chemical_formula_sum 'La4 Pm4 Pd4 Rh4'
_cell_length_a 7.1866
_cell_length_b 7.1866
_cell_length_c 7.1866
_cell_angle_alpha 90.00
_cell_angle_beta 90.00
_cell_angle_gamma 90.00
_space_group_name_H-M_alt 'F -4 3 m'
_space_group_IT_number 216
_space_group_name_Hall 'F -4 2 3'
loop_
_atom_site_label
_atom_site_type_symbol
_atom_site_fract_x
_atom_site_fract_y
_atom_site_fract_z
La1 La 0.0000 0.0000 0.0000
Pm1 Pm 0.0000 0.0000 0.5000
Pd1 Pd 0.2500 0.2500 0.7500
Rh1 Rh 0.2500 0.2500 0.2500
```

---

Below is a relaxed LaPmSb2Pd2 crystal, with properties calculated at the PBE-GGA level.

Fermi-level density of states = 1.11 states/eV/f.u.
V = 149 Å³/f.u.
E = -5.822 eV per atom
uncorrected formation energy = -639.0 kJ/mol of formula units
crystal system = trigonal

Geometry as CIF:
```
data_LaPmSb2Pd2
_chemical_formula_sum 'La1 Pm1 Sb2 Pd2'
_cell_length_a 4.6291
_cell_length_b 4.6291
_cell_length_c 8.0511
_cell_angle_alpha 90.00
_cell_angle_beta 90.00
_cell_angle_gamma 120.00
_space_group_name_H-M_alt 'P -3 m 1'
_space_group_IT_number 164
_space_group_name_Hall '-P 3 2"'
loop_
_atom_site_label
_atom_site_type_symbol
_atom_site_fract_x
_atom_site_fract_y
_atom_site_fract_z
La1 La 0.0000 0.0000 0.0000
Pm1 Pm 0.0000 0.0000 0.5000
Sb1 Sb 0.3333 0.6667 0.2516
Pd1 Pd 0.3333 0.6667 0.7314
```

---

Number 1: total magnetization 0.00 μB/cell. Number 2: total magnetization 0.00 μB/cell. Number 3: total magnetization 0.00 μB/cell. Number 4: total magnetization 0.00 μB/cell. Number 5: total magnetization 0.00 μB/cell. Number 6: total magnetization 0.00 μB/cell.